(1)
NbTcPCl2 | GGA-PBEsol | relaxed

a = 4.651 Å, b = 4.651 Å, c = 4.577 Å
α = 90.00°, β = 90.00°, γ = 90.00°
Each line ends with the local moment (μB).
Sites, in units of the cell vectors:
P (0.000, 0.000, 0.500)  -0.08
Nb (0.500, 0.500, 0.500)  2.53
Tc (0.000, 0.000, 0.000)  0.27
Cl (0.000, 0.500, 0.000)  -0.03
Cl (0.500, 0.000, 0.000)  -0.03

Output
symmetry	No. 123
formation energy from raw total energies	0.75	eV per atom

(2)
NaMgIn3 | GGA-PBEsol | relaxed

a = 5.431 Å, b = 5.431 Å, c = 5.431 Å
α = 90.00°, β = 90.00°, γ = 90.00°
Sites, in units of the cell vectors:
Na (0.500, 0.500, 0.500)
Mg (0.000, 0.000, 0.000)
In (0.000, 0.500, 0.000)
In (0.000, 0.000, 0.500)
In (0.500, 0.000, 0.000)

Output
symmetry	No. 221
calculated formation energy	0.2545	eV per atom

(3)
TlSbTe2 | GGA-PBEsol | relaxed

a = 5.406 Å, b = 5.406 Å, c = 5.406 Å
α = 60.00°, β = 60.00°, γ = 60.00°
Sites, in units of the cell vectors:
Sb (0.000, 0.000, 0.000)
Te (0.250, 0.250, 0.250)
Te (0.750, 0.750, 0.750)
Tl (0.500, 0.500, 0.500)

Output
symmetry	No. 225
formation energy from raw total energies	0.05	eV per atom

(4)
TePS2I | GGA-PBEsol | relaxed

a = 4.891 Å, b = 4.891 Å, c = 5.381 Å
α = 90.00°, β = 90.00°, γ = 90.00°
Sites, in units of the cell vectors:
I (0.500, 0.500, 0.500)
P (0.000, 0.000, 0.500)
S (0.000, 0.500, 0.000)
S (0.500, 0.000, 0.000)
Te (0.000, 0.000, 0.000)

Output
symmetry	No. 123
formation energy from raw total energies	0.80	eV per atom

no.,total magnetic moment (μB per formula unit),uncorrected energy (eV per atom)
1,3.3,-5.6241
2,0.0,-2.1586
3,0.0,-3.5145
4,0.0,-3.1723